(1)
Here is a relaxed Be2HgCl crystal from Alexandria via LeMat-Bulk. Energies are from PBE.

Structure (POSCAR):
```
Be2HgCl
1.0
7.123 -0.008 -0.005
6.404 3.117 -0.005
6.404 1.472 2.747
Be Cl Hg
2 1 1
direct
0.500 0.500 0.500 Be
0.000 0.000 0.000 Be
0.250 0.250 0.250 Cl
0.750 0.750 0.750 Hg
```

Calculated values
The energy above the most stable polymorph in this dataset is 250 meV/atom. Its space-group type is No. 166. The value obtained for the energy is -2.13 eV per atom. As for the formation energy (no corrections): 0.270 eV/atom.


(2)
Here is a relaxed BeHgCl2 crystal from Alexandria via LeMat-Bulk. Energies are from PBE.

Structure (POSCAR):
```
BeHgCl2
1.0
-0.784 -0.576 3.151
-0.716 -3.062 0.993
9.666 -2.327 2.987
Hg Be Cl
1 1 2
direct
0.250 0.250 0.250 Hg
0.750 0.750 0.750 Be
0.060 0.060 0.871 Cl
0.440 0.440 0.629 Cl
```

Calculated values
The energy above the most stable polymorph in this dataset is 177 meV/atom. Its space-group type is No. 12. The value obtained for the energy is -2.76 eV per atom. As for the formation energy (no corrections): -0.831 eV/atom.


(3)
Here is a relaxed Be2HgCl crystal from Alexandria via LeMat-Bulk. Energies are from PBE.

Structure (POSCAR):
```
Be2HgCl
1.0
-1.389 -2.407 -3.561
1.711 -2.901 -3.010
-1.029 -6.848 -0.344
Be Hg Cl
2 1 1
direct
0.540 0.540 0.610 Be
0.960 0.960 0.890 Be
0.750 0.750 0.750 Hg
0.250 0.250 0.250 Cl
```

Calculated values
The energy above the most stable polymorph in this dataset is 100 meV/atom. Its space-group type is No. 12. The value obtained for the energy is -2.28 eV per atom. As for the formation energy (no corrections): 0.120 eV/atom.


(4)
Here is a relaxed BeHgCl2 crystal from Alexandria via LeMat-Bulk. Energies are from PBE.

Structure (POSCAR):
```
BeHgCl2
1.0
-1.642 -0.594 2.598
0.790 -3.023 -0.192
6.550 1.429 4.466
Hg Cl Be
1 2 1
direct
0.000 0.000 0.520 Hg
0.500 0.500 0.282 Cl
0.000 0.000 0.917 Cl
0.500 0.500 0.781 Be
```

Calculated values
The energy above the most stable polymorph in this dataset is 1032 meV/atom. Its space-group type is No. 99. The value obtained for the energy is -1.91 eV per atom. As for the formation energy (no corrections): 0.024 eV/atom.


(5)
Here is a relaxed BeHgCl2 crystal from Alexandria via LeMat-Bulk. Energies are from PBE.

Structure (POSCAR):
```
BeHgCl2
1.0
2.600 0.000 10.530
-1.300 2.252 10.530
-1.300 -2.252 10.530
Be Cl Hg
1 2 1
direct
0.000 0.000 0.000 Be
0.943 0.943 0.943 Cl
0.057 0.057 0.057 Cl
0.500 0.500 0.500 Hg
```

Calculated values
The energy above the most stable polymorph in this dataset is 235 meV/atom. Its space-group type is No. 166. The value obtained for the energy is -2.70 eV per atom. As for the formation energy (no corrections): -0.773 eV/atom.


(6)
Here is a relaxed BeHgCl2 crystal from Alexandria via LeMat-Bulk. Energies are from PBE.

Structure (POSCAR):
```
BeHgCl2
1.0
3.355 0.000 0.000
0.000 3.356 0.012
0.000 1.571 10.139
Be Hg Cl
1 1 2
direct
0.500 0.803 0.002 Be
0.000 0.593 0.493 Hg
0.500 0.246 0.120 Cl
0.000 0.859 0.885 Cl
```

Calculated values
The energy above the most stable polymorph in this dataset is 0 meV/atom. Its space-group type is No. 6. The value obtained for the energy is -2.94 eV per atom. As for the formation energy (no corrections): -1.008 eV/atom.


(7)
Here is a relaxed Be2HgCl crystal from Alexandria via LeMat-Bulk. Energies are from PBE.

Structure (POSCAR):
```
Be2HgCl
1.0
3.315 0.008 0.000
-2.034 2.618 0.000
0.000 0.000 9.529
Cl Be Hg
1 2 1
direct
0.000 0.000 0.382 Cl
0.000 0.000 0.050 Be
0.500 0.500 0.236 Be
0.500 0.500 0.832 Hg
```

Calculated values
The energy above the most stable polymorph in this dataset is 166 meV/atom. Its space-group type is No. 35. The value obtained for the energy is -2.21 eV per atom. As for the formation energy (no corrections): 0.186 eV/atom.


(8)
Here is a relaxed BeHgCl2 crystal from Alexandria via LeMat-Bulk. Energies are from PBE.

Structure (POSCAR):
```
BeHgCl2
1.0
-6.489 3.354 -2.075
-7.091 0.721 2.620
7.515 0.198 1.074
Be Cl Hg
1 2 1
direct
0.750 0.250 0.500 Be
0.250 0.750 0.500 Cl
0.000 0.000 0.000 Cl
0.500 0.500 0.000 Hg
```

Calculated values
The energy above the most stable polymorph in this dataset is 1274 meV/atom. Its space-group type is No. 119. The value obtained for the energy is -1.66 eV per atom. As for the formation energy (no corrections): 0.266 eV/atom.


(9)
Here is a relaxed Be2HgCl crystal from Alexandria via LeMat-Bulk. Energies are from PBE.

Structure (POSCAR):
```
Be2HgCl
1.0
-4.563 -0.863 -1.085
-1.095 -3.351 -3.212
-2.057 -4.068 1.404
Cl Be Hg
1 2 1
direct
0.500 0.500 0.500 Cl
0.000 0.000 0.000 Be
0.750 0.750 0.750 Be
0.250 0.250 0.250 Hg
```

Calculated values
The energy above the most stable polymorph in this dataset is 1017 meV/atom. Its space-group type is No. 216. The value obtained for the energy is -1.36 eV per atom. As for the formation energy (no corrections): 1.037 eV/atom.


(10)
Here is a relaxed Be2HgCl crystal from Alexandria via LeMat-Bulk. Energies are from PBE.

Structure (POSCAR):
```
Be2HgCl
1.0
-2.706 -0.685 -0.985
-0.414 -2.005 2.533
-2.544 4.977 3.526
Be Cl Hg
2 1 1
direct
0.000 0.250 0.972 Be
0.000 0.250 0.528 Be
0.500 0.250 0.250 Cl
0.500 0.750 0.750 Hg
```

Calculated values
The energy above the most stable polymorph in this dataset is 247 meV/atom. Its space-group type is No. 47. The value obtained for the energy is -2.13 eV per atom. As for the formation energy (no corrections): 0.267 eV/atom.


(11)
Here is a relaxed Be2HgCl crystal from Alexandria via LeMat-Bulk. Energies are from PBE.

Structure (POSCAR):
```
Be2HgCl
1.0
-0.491 3.681 -3.238
-4.399 -2.206 -0.232
-2.482 2.184 1.051
Hg Be Cl
1 2 1
direct
0.000 0.500 0.500 Hg
0.500 0.500 0.000 Be
0.000 0.000 0.000 Be
0.500 0.000 0.500 Cl
```

Calculated values
The energy above the most stable polymorph in this dataset is 517 meV/atom. Its space-group type is No. 12. The value obtained for the energy is -1.86 eV per atom. As for the formation energy (no corrections): 0.537 eV/atom.


(12)
Here is a relaxed Be2HgCl crystal from Alexandria via LeMat-Bulk. Energies are from PBE.

Structure (POSCAR):
```
Be2HgCl
1.0
5.032 0.000 0.000
0.000 2.991 0.005
0.000 -0.005 4.428
Hg Be Cl
1 2 1
direct
0.500 0.874 0.825 Hg
0.500 0.378 0.329 Be
0.000 0.874 0.017 Be
0.000 0.374 0.328 Cl
```

Calculated values
The energy above the most stable polymorph in this dataset is 301 meV/atom. Its space-group type is No. 6. The value obtained for the energy is -2.08 eV per atom. As for the formation energy (no corrections): 0.321 eV/atom.


(13)
Here is a relaxed BeHg4Cl crystal from Alexandria via LeMat-Bulk. Energies are from PBE.

Structure (POSCAR):
```
BeHg4Cl
1.0
0.000 4.281 4.281
4.281 0.000 4.281
4.281 4.281 0.000
Hg Be Cl
4 1 1
direct
0.375 0.874 0.375 Hg
0.375 0.375 0.874 Hg
0.375 0.375 0.375 Hg
0.874 0.375 0.375 Hg
0.750 0.750 0.750 Be
0.000 0.000 0.000 Cl
```

Calculated values
Its space-group type is No. 216. The value obtained for the energy is -0.68 eV per atom. As for the formation energy (no corrections): 0.451 eV/atom.


(14)
Here is a relaxed Be2HgCl crystal from Alexandria via LeMat-Bulk. Energies are from PBE.

Structure (POSCAR):
```
Be2HgCl
1.0
-2.964 -1.285 1.149
1.620 -1.304 2.719
-0.910 4.524 2.711
Hg Be Cl
1 2 1
direct
0.500 0.500 0.837 Hg
0.500 0.500 0.351 Be
0.000 0.000 0.965 Be
0.000 0.000 0.347 Cl
```

Calculated values
The energy above the most stable polymorph in this dataset is 345 meV/atom. Its space-group type is No. 99. The value obtained for the energy is -2.03 eV per atom. As for the formation energy (no corrections): 0.365 eV/atom.


(15)
Here is a relaxed BeHgCl2 crystal from Alexandria via LeMat-Bulk. Energies are from PBE.

Structure (POSCAR):
```
BeHgCl2
1.0
3.045 0.000 0.000
0.000 3.045 0.000
0.000 0.000 9.896
Be Hg Cl
1 1 2
direct
0.500 0.500 0.750 Be
0.500 0.500 0.250 Hg
0.000 0.000 0.607 Cl
0.000 0.000 0.893 Cl
```

Calculated values
The energy above the most stable polymorph in this dataset is 783 meV/atom. Its space-group type is No. 123. The value obtained for the energy is -2.16 eV per atom. As for the formation energy (no corrections): -0.226 eV/atom.


(16)
Here is a relaxed Be2HgCl crystal from Alexandria via LeMat-Bulk. Energies are from PBE.

Structure (POSCAR):
```
Be2HgCl
1.0
-2.926 -3.613 -1.051
0.621 -1.777 4.379
-2.203 1.514 0.927
Be Hg Cl
2 1 1
direct
0.000 0.000 0.000 Be
0.500 0.500 0.000 Be
0.000 0.500 0.500 Hg
0.500 0.000 0.500 Cl
```

Calculated values
The energy above the most stable polymorph in this dataset is 638 meV/atom. Its space-group type is No. 123. The value obtained for the energy is -1.74 eV per atom. As for the formation energy (no corrections): 0.658 eV/atom.


(17)
Here is a relaxed Be2HgCl crystal from Alexandria via LeMat-Bulk. Energies are from PBE.

Structure (POSCAR):
```
Be2HgCl
1.0
-4.009 -2.190 2.328
-0.575 -3.785 -3.411
2.887 1.947 3.763
Hg Be Cl
1 2 1
direct
0.750 0.250 0.500 Hg
0.486 0.486 0.000 Be
0.014 0.014 0.000 Be
0.250 0.750 0.500 Cl
```

Calculated values
The energy above the most stable polymorph in this dataset is 441 meV/atom. Its space-group type is No. 71. The value obtained for the energy is -1.94 eV per atom. As for the formation energy (no corrections): 0.461 eV/atom.


(18)
Here is a relaxed Be2HgCl6 crystal from Alexandria via LeMat-Bulk. Energies are from PBE.

Structure (POSCAR):
```
Be2HgCl6
1.0
5.924 0.387 0.374
2.187 8.964 -0.465
2.187 -0.175 8.975
Cl Be Hg
12 4 2
direct
0.415 0.729 0.615 Cl
0.085 0.385 0.271 Cl
0.096 0.170 0.563 Cl
0.915 0.615 0.729 Cl
0.904 0.830 0.437 Cl
0.896 0.208 0.020 Cl
0.104 0.792 0.980 Cl
0.396 0.020 0.208 Cl
0.404 0.437 0.830 Cl
0.604 0.980 0.792 Cl
0.585 0.271 0.385 Cl
0.596 0.563 0.170 Cl
0.199 0.646 0.793 Be
0.301 0.207 0.354 Be
0.801 0.354 0.207 Be
0.699 0.793 0.646 Be
0.750 0.778 0.222 Hg
0.250 0.222 0.778 Hg
```

Calculated values
Its space-group type is No. 15. The value obtained for the energy is -3.21 eV per atom. As for the formation energy (no corrections): -1.121 eV/atom.


(19)
Here is a relaxed BeHgCl2 crystal from Alexandria via LeMat-Bulk. Energies are from PBE.

Structure (POSCAR):
```
BeHgCl2
1.0
3.830 0.000 0.000
0.000 7.115 0.000
0.000 0.000 3.836
Cl Hg Be
2 1 1
direct
0.500 0.500 0.000 Cl
0.000 0.000 0.000 Cl
0.500 0.000 0.500 Hg
0.000 0.500 0.500 Be
```

Calculated values
The energy above the most stable polymorph in this dataset is 1279 meV/atom. Its space-group type is No. 47. The value obtained for the energy is -1.66 eV per atom. As for the formation energy (no corrections): 0.271 eV/atom.


(20)
Here is a relaxed BeHgCl2 crystal from Alexandria via LeMat-Bulk. Energies are from PBE.

Structure (POSCAR):
```
BeHgCl2
1.0
-2.824 2.992 0.925
-3.001 -4.879 4.076
0.498 1.033 4.068
Cl Be Hg
2 1 1
direct
0.500 0.500 0.000 Cl
0.000 0.000 0.000 Cl
0.000 0.500 0.500 Be
0.500 0.000 0.500 Hg
```

Calculated values
The energy above the most stable polymorph in this dataset is 1220 meV/atom. Its space-group type is No. 12. The value obtained for the energy is -1.72 eV per atom. As for the formation energy (no corrections): 0.212 eV/atom.